VASP calculation (PBE-GGA) on a relaxed GdMg2Zn crystal.

Values from the calculation:
Crystal system: cubic
Calculated formation energy, eV/atom: -0.06
Magnetization, μB per cell: 7.1
Fermi-level density of states, states/eV/cell: 2.4

abc: 4.9878 4.9878 4.9878
angles: 60.00 60.00 60.00
Closest atoms and distances in Å follow each position.
Fractional coordinates of all 4 atoms:
Gd (0.0000, 0.0000, 0.0000)  8 Mg 3.05
Mg (0.2500, 0.2500, 0.2500)  4 Zn 3.05, 4 Gd 3.05
Mg (0.7500, 0.7500, 0.7500)  4 Zn 3.05, 4 Gd 3.05
Zn (0.5000, 0.5000, 0.5000)  8 Mg 3.05